(1)
# ReAgAu2 | Alexandria via LeMat-Bulk | PBE-GGA | relaxed
# Energy of formation from the pure elements (eV/f.u.): 2.08
data_ReAgAu2
_cell_length_a 9.412
_cell_length_b 2.739
_cell_length_c 5.329
_cell_angle_alpha 90.00
_cell_angle_beta 97.23
_cell_angle_gamma 90.00
_symmetry_space_group_name_H-M 'C 1 2/m 1'
_symmetry_Int_Tables_number 12
_symmetry_space_group_name_Hall '-C 2y'
loop_
_atom_site_label
_atom_site_fract_x
_atom_site_fract_y
_atom_site_fract_z
_atom_site_occupancy
Re1 0.000 0.000 0.000 1
Ag1 0.000 0.500 0.500 1
Au1 0.245 0.500 0.241 1

(2)
# NdZrS3 | Alexandria via LeMat-Bulk | PBE-GGA | relaxed
# Uncorrected formation energy (eV per atom): -1.69
data_NdZrS3
_cell_length_a 6.8188
_cell_length_b 6.8188
_cell_length_c 6.7071
_cell_angle_alpha 90.00
_cell_angle_beta 90.00
_cell_angle_gamma 120.00
_symmetry_space_group_name_H-M 'P -6 c 2'
_symmetry_Int_Tables_number 188
_symmetry_space_group_name_Hall 'P -6c 2'
loop_
_atom_site_label
_atom_site_fract_x
_atom_site_fract_y
_atom_site_fract_z
_atom_site_occupancy
Nd1 0.0000 0.0000 0.0000 1
Zr1 0.6667 0.3333 0.0000 1
S1 0.3578 0.0508 0.2500 1

(3)
# BaAu2C2 | Alexandria via LeMat-Bulk | PBE-GGA | relaxed
# Energy of formation from the pure elements (eV/f.u.): 2.54
data_BaAu2C2
_cell_length_a 4.063
_cell_length_b 4.063
_cell_length_c 13.280
_cell_angle_alpha 90.00
_cell_angle_beta 90.00
_cell_angle_gamma 90.00
_symmetry_space_group_name_H-M 'I 4/m m m'
_symmetry_Int_Tables_number 139
_symmetry_space_group_name_Hall '-I 4 2'
loop_
_atom_site_label
_atom_site_fract_x
_atom_site_fract_y
_atom_site_fract_z
_atom_site_occupancy
Ba1 0.000 0.000 0.000 1
Au1 0.000 0.500 0.250 1
C1 0.000 0.000 0.452 1

(4)
# Sm4YEr7 | Alexandria via LeMat-Bulk | PBE-GGA | relaxed
# Energy of formation from the pure elements (eV/f.u.): 3.36
data_Sm4YEr7
_cell_length_a 12.093
_cell_length_b 5.868
_cell_length_c 12.713
_cell_angle_alpha 90.00
_cell_angle_beta 118.38
_cell_angle_gamma 90.00
_symmetry_space_group_name_H-M 'C 1 2/m 1'
_symmetry_Int_Tables_number 12
_symmetry_space_group_name_Hall '-C 2y'
loop_
_atom_site_label
_atom_site_fract_x
_atom_site_fract_y
_atom_site_fract_z
_atom_site_occupancy
Sm1 0.138 0.000 0.277 1
Sm2 0.233 0.500 0.173 1
Y1 0.000 0.500 0.500 1
Er1 0.000 0.000 0.500 1
Er2 0.065 0.500 0.817 1
Er3 0.133 0.000 0.997 1
Er4 0.213 0.500 0.424 1

(5)
# TiZnF2 | Alexandria via LeMat-Bulk | PBE-GGA | relaxed
# Uncorrected formation energy (eV per atom): -1.24
data_TiZnF2
_cell_length_a 5.951
_cell_length_b 5.951
_cell_length_c 5.951
_cell_angle_alpha 90.00
_cell_angle_beta 90.00
_cell_angle_gamma 90.00
_symmetry_space_group_name_H-M 'F m -3 m'
_symmetry_Int_Tables_number 225
_symmetry_space_group_name_Hall '-F 4 2 3'
loop_
_atom_site_label
_atom_site_fract_x
_atom_site_fract_y
_atom_site_fract_z
_atom_site_occupancy
Ti1 0.000 0.000 0.000 1
Zn1 0.000 0.000 0.500 1
F1 0.250 0.250 0.250 1

(6)
# MnGaBRuSe | Alexandria via LeMat-Bulk | PBE-GGA | relaxed
# Uncorrected formation energy (eV per atom): -0.01
data_MnGaBRuSe
_cell_length_a 2.955
_cell_length_b 2.913
_cell_length_c 15.977
_cell_angle_alpha 90.00
_cell_angle_beta 90.00
_cell_angle_gamma 90.00
_symmetry_space_group_name_H-M 'A m m 2'
_symmetry_Int_Tables_number 38
_symmetry_space_group_name_Hall 'A 2 -2'
loop_
_atom_site_label
_atom_site_fract_x
_atom_site_fract_y
_atom_site_fract_z
_atom_site_occupancy
Mn1 0.000 0.000 0.000 1
Ga1 0.500 0.000 0.608 1
B1 0.000 0.000 0.763 1
Ru1 0.500 0.000 0.249 1
Se1 0.500 0.000 0.422 1

no.,VASP energy (eV for the cell shown)
1,-39.6
2,-68.3
3,-48.8
4,-107.8
5,-71.4
6,-63.4